[1]
Density functional theory data (GGA-PBEsol) for Tm2ZnRh after structural relaxation.

Cell: 4.784 4.784 4.784 Å, 60.00 60.00 60.00°
Sites, in units of the cell vectors:
Zn 0.500 0.500 0.500
Tm 0.250 0.250 0.250
Tm 0.750 0.750 0.750
Rh 0.000 0.000 0.000

Output
Space group: Fm-3m (225)
DOS at the Fermi energy (states/eV per atom): 0.593
Magnetic moment (μB per cell): 0.00
Formation energy (meV/atom): -624

[2]
Density functional theory data (GGA-PBEsol) for NaAgW3 after structural relaxation.

Cell: 4.451 4.451 4.451 Å, 90.00 90.00 90.00°
Sites, in units of the cell vectors:
Na 0.000 0.000 0.000
Ag 0.500 0.500 0.500
W 0.000 0.500 0.000
W 0.000 0.000 0.500
W 0.500 0.000 0.000

Output
Space group: Pm-3m (221)
DOS at the Fermi energy (states/eV per atom): 0.542
Magnetic moment (μB per cell): 0.00
Formation energy (meV/atom): 3110

[3]
Density functional theory data (GGA-PBEsol) for MgZr2Fe after structural relaxation.

Cell: 3.122 3.122 9.240 Å, 80.27 80.27 60.00°
Each line ends with the local moment (μB).
Sites, in units of the cell vectors:
Fe 0.496 0.496 0.511  1.50
Mg 0.237 0.237 0.288  -0.01
Zr 0.003 0.003 0.992  0.01
Zr 0.764 0.764 0.708  -0.22

Output
Space group: R3m (160)
DOS at the Fermi energy (states/eV per atom): 1.070
Magnetic moment (μB per cell): 1.16
Formation energy (meV/atom): 232

[4]
Density functional theory data (GGA-PBEsol) for NdGaGe2O7 after structural relaxation.

Cell: 6.605 7.223 11.489 Å, 83.59 90.00 90.00°
Sites, in units of the cell vectors:
Nd 0.646 0.261 0.976
Nd 0.146 0.239 0.524
Nd 0.854 0.761 0.476
Nd 0.354 0.739 0.024
Ga 0.400 0.018 0.768
Ga 0.900 0.482 0.732
Ga 0.600 0.982 0.232
Ga 0.100 0.518 0.268
Ge 0.342 0.757 0.456
Ge 0.912 0.923 0.780
Ge 0.158 0.257 0.956
Ge 0.842 0.743 0.044
Ge 0.658 0.243 0.544
Ge 0.088 0.077 0.220
Ge 0.412 0.577 0.720
Ge 0.588 0.423 0.280
O 0.828 0.071 0.521
O 0.375 0.761 0.807
O 0.051 0.664 0.128
O 0.889 0.937 0.279
O 0.111 0.063 0.721
O 0.949 0.336 0.872
O 0.187 0.467 0.684
O 0.313 0.967 0.184
O 0.172 0.929 0.479
O 0.662 0.915 0.078
O 0.551 0.836 0.372
O 0.389 0.563 0.221
O 0.838 0.415 0.578
O 0.125 0.261 0.307
O 0.625 0.239 0.193
O 0.875 0.739 0.693
O 0.813 0.533 0.316
O 0.500 0.675 0.577
O 0.162 0.585 0.422
O 0.338 0.085 0.922
O 0.500 0.325 0.423
O 0.328 0.429 0.979
O 0.000 0.825 0.923
O 0.611 0.437 0.779
O 0.449 0.164 0.628
O 0.672 0.571 0.021
O 0.687 0.033 0.816
O 0.000 0.175 0.077

Output
Space group: P2_1/c (14)
DOS at the Fermi energy (states/eV per atom): 0.000
Formation energy without anion corrections (eV per atom): -2.1906
Magnetic moment (μB per cell): 0.00

[5]
Density functional theory data (GGA-PBEsol) for BaYRu3 after structural relaxation.

Cell: 4.876 4.876 4.876 Å, 90.00 90.00 90.00°
Sites, in units of the cell vectors:
Y 0.500 0.500 0.500
Ru 0.000 0.500 0.000
Ru 0.000 0.000 0.500
Ru 0.500 0.000 0.000
Ba 0.000 0.000 0.000

Output
Space group: Pm-3m (221)
DOS at the Fermi energy (states/eV per atom): 1.397
Magnetic moment (μB per cell): 0.00
Formation energy (meV/atom): 1998

[6]
Density functional theory data (GGA-PBEsol) for Ti3NiRh after structural relaxation.

Cell: 4.386 4.386 4.386 Å, 90.00 90.00 90.00°
Sites, in units of the cell vectors:
Ni 0.000 0.000 0.000
Rh 0.500 0.500 0.500
Ti 0.000 0.500 0.000
Ti 0.000 0.000 0.500
Ti 0.500 0.000 0.000

Output
Space group: Pm-3m (221)
DOS at the Fermi energy (states/eV per atom): 1.579
Magnetic moment (μB per cell): 0.00
Formation energy (meV/atom): 371